Density functional theory data (GGA+U) for a relaxed NaTl2WF8 crystal.

Results
SG: P2/m
Final energy in Ry per atom: -0.35019

a = 5.0460 Å, b = 7.8369 Å, c = 6.4948 Å
α = 90.00°, β = 96.82°, γ = 90.00°
Last column: nearest neighbours and their distance in Å.
Positions (direct):
Na: 0.0000 0.0000 0.0000  2 F 2.22
Tl: 0.5000 0.2343 0.5000  2 F 2.48
Tl: 0.5000 0.7657 0.5000  2 F 2.48
W: 0.0000 0.5000 0.0000  6 F 1.91-1.96
F: 0.1034 0.3165 0.8200  1 W 1.96
F: 0.1034 0.6835 0.8200  1 W 1.96
F: 0.3168 0.0000 0.2681  1 Na 2.22, 2 Tl 2.48
F: 0.3409 0.5000 0.1622  1 W 1.91
F: 0.6591 0.5000 0.8378  1 W 1.91
F: 0.6832 0.0000 0.7319  1 Na 2.22, 2 Tl 2.48
F: 0.8966 0.3165 0.1800  1 W 1.96
F: 0.8966 0.6835 0.1800  1 W 1.96